(1)
First-principles (PBE) data for a relaxed Nb3CrSb crystal, as listed in the Alexandria database.

Results
* total energy: -40.766 eV/cell
* ΔE to the lowest computed polymorph: 0 meV per atom
* calculated volume: 20.18 Å³/atom
* ΔE_f (raw): 0.6378 eV/atom

Lattice parameters (Å, degrees): 4.655 4.655 4.655 90.00 90.00 90.00
Space group Pm-3m (No. 221)
One atom of each set of equivalent atoms:
Nb (0.000, 0.000, 0.500)
Cr (0.000, 0.000, 0.000)
Sb (0.500, 0.500, 0.500)

(2)
First-principles (PBE) data for a relaxed NbCr2Sb crystal, as listed in the Alexandria database.

Results
* total energy: -121.129 eV/cell
* ΔE to the lowest computed polymorph: 689 meV per atom
* calculated volume: 17.83 Å³/atom
* ΔE_f (raw): 0.7892 eV/atom

Lattice parameters (Å, degrees): 3.965 3.965 18.147 90.00 90.00 90.00
Space group I-42d (No. 122)
One atom of each set of equivalent atoms:
Nb (0.000, 0.000, 0.000)
Cr (0.179, 0.250, 0.125)
Sb (0.000, 0.000, 0.500)

(3)
First-principles (PBE) data for a relaxed NbCrSb3 crystal, as listed in the Alexandria database.

Results
* total energy: -27.807 eV/cell
* ΔE to the lowest computed polymorph: 0 meV per atom
* calculated volume: 25.54 Å³/atom
* ΔE_f (raw): 0.8507 eV/atom

Lattice parameters (Å, degrees): 5.036 5.036 5.036 90.00 90.00 90.00
Space group Pm-3m (No. 221)
One atom of each set of equivalent atoms:
Nb (0.000, 0.000, 0.000)
Cr (0.500, 0.500, 0.500)
Sb (0.000, 0.500, 0.500)

(4)
First-principles (PBE) data for a relaxed NbCrSb2 crystal, as listed in the Alexandria database.

Results
* total energy: -108.991 eV/cell
* ΔE to the lowest computed polymorph: 0 meV per atom
* calculated volume: 19.67 Å³/atom
* ΔE_f (raw): 0.1726 eV/atom

Lattice parameters (Å, degrees): 6.802 6.802 6.802 90.00 90.00 90.00
Space group Fm-3m (No. 225)
One atom of each set of equivalent atoms:
Nb (0.000, 0.000, 0.000)
Cr (0.000, 0.000, 0.500)
Sb (0.250, 0.250, 0.250)

(5)
First-principles (PBE) data for a relaxed NbCrSb3 crystal, as listed in the Alexandria database.

Results
* total energy: -25.607 eV/cell
* ΔE to the lowest computed polymorph: 440 meV per atom
* calculated volume: 30.23 Å³/atom
* ΔE_f (raw): 1.2907 eV/atom

Lattice parameters (Å, degrees): 5.327 5.327 5.327 90.00 90.00 90.00
Space group Pm-3m (No. 221)
One atom of each set of equivalent atoms:
Nb (0.000, 0.000, 0.000)
Cr (0.500, 0.500, 0.500)
Sb (0.000, 0.000, 0.500)

(6)
First-principles (PBE) data for a relaxed Ti2NbCrSb crystal, as listed in the Alexandria database.

Results
* total energy: -33.392 eV/cell
* calculated volume: 23.24 Å³/atom
* ΔE_f (raw): 1.2426 eV/atom

Lattice parameters (Å, degrees): 4.946 4.946 4.750 90.00 90.00 90.00
Space group P4/mmm (No. 123)
One atom of each set of equivalent atoms:
Ti (0.000, 0.500, 0.000)
Nb (0.000, 0.000, 0.500)
Cr (0.500, 0.500, 0.500)
Sb (0.500, 0.500, 0.000)

Please write out number 3 again, unchanged.
First-principles (PBE) data for a relaxed NbCrSb3 crystal, as listed in the Alexandria database.

Results
* total energy: -27.807 eV/cell
* ΔE to the lowest computed polymorph: 0 meV per atom
* calculated volume: 25.54 Å³/atom
* ΔE_f (raw): 0.8507 eV/atom

Lattice parameters (Å, degrees): 5.036 5.036 5.036 90.00 90.00 90.00
Space group Pm-3m (No. 221)
One atom of each set of equivalent atoms:
Nb (0.000, 0.000, 0.000)
Cr (0.500, 0.500, 0.500)
Sb (0.000, 0.500, 0.500)